Below is a geometry-optimized Ca3Pm2UN6 structure, with properties calculated at the PBE level.

abc: 6.1604 10.6751 6.1018
angles: 90.00 109.78 90.00
Space group C2/m (No. 12)
Unique sites:
1 Ca 0.0000 0.0000 0.0000
2 Ca 0.0000 0.3367 0.0000
3 Pm 0.0000 0.1671 0.5000
4 U 0.0000 0.5000 0.5000
5 N 0.2250 0.3492 0.7232
6 N 0.2273 0.5000 0.2835

Results
ΔE_f (raw), eV/atom: -1.350
Uncorrected energy, eV/atom: -7.75

---

Below is a geometry-optimized Ca2PmVN4 structure, with properties calculated at the PBE level.

abc: 7.3698 6.7713 5.2309
angles: 90.00 90.00 90.00
Space group Pmn2_1 (No. 31)
Unique sites:
1 Ca 0.2446 0.1625 0.0000
2 Pm 0.0000 0.3670 0.5017
3 V 0.0000 0.6790 0.0407
4 N 0.0000 0.4075 0.9755
5 N 0.0000 0.6850 0.3818
6 N 0.2171 0.8087 0.9626

Results
DOS at the Fermi energy, states/eV/f.u.: 0.0
ΔE_f (raw), eV/atom: -1.187
Uncorrected energy, eV/atom: -7.58

---

Below is a geometry-optimized Ca2PmWN4 structure, with properties calculated at the PBE level.

abc: 7.6743 6.7429 5.3435
angles: 90.00 90.00 90.00
Space group Pmn2_1 (No. 31)
Unique sites:
1 Ca 0.2502 0.1591 0.0000
2 Pm 0.0000 0.3441 0.4997
3 W 0.0000 0.6672 0.0359
4 N 0.0000 0.3853 0.9637
5 N 0.0000 0.6693 0.3860
6 N 0.2126 0.7997 0.9544

Results
DOS at the Fermi energy, states/eV/f.u.: 2.9
ΔE_f (raw), eV/atom: -1.037
Uncorrected energy, eV/atom: -7.91

---

Below is a geometry-optimized CaPm2WN4 structure, with properties calculated at the PBE level.

abc: 3.4048 12.3553 12.5266
angles: 90.00 90.00 90.00
Space group Cmcm (No. 63)
Unique sites:
1 Ca 0.0000 0.0710 0.2500
2 Pm 0.0000 0.3711 0.0377
3 W 0.0000 0.1830 0.7500
4 N 0.0000 0.0000 0.0000
5 N 0.0000 0.2655 0.6251
6 N 0.0000 0.4225 0.2500

Results
DOS at the Fermi energy, states/eV/f.u.: 3.9
ΔE_f (raw), eV/atom: -0.925
Uncorrected energy, eV/atom: -8.14

---

Below is a geometry-optimized CaPmZnN2 structure, with properties calculated at the PBE level.

abc: 5.2263 5.5017 6.6393
angles: 90.00 90.00 90.00
Space group Pccm (No. 49)
Unique sites:
1 Ca 0.0000 0.0000 0.2500
2 Pm 0.5000 0.5000 0.2500
3 Zn 0.5000 0.0000 0.0000
4 N 0.2666 0.2571 0.0000

Results
DOS at the Fermi energy, states/eV/f.u.: 2.6
ΔE_f (raw), eV/atom: -0.549
Uncorrected energy, eV/atom: -5.48

---

Below is a geometry-optimized CaPm2ZrN4 structure, with properties calculated at the PBE level.

abc: 6.0103 3.4882 6.0595
angles: 90.00 109.08 90.00
Space group P2/m (No. 10)
Unique sites:
1 Ca 0.0000 0.0000 0.0000
2 Pm 0.5000 0.0000 0.5000
3 Pm 0.5000 0.5000 0.0000
4 Zr 0.0000 0.5000 0.5000
5 N 0.2321 0.0000 0.7313
6 N 0.2386 0.5000 0.2695

Results
DOS at the Fermi energy, states/eV/f.u.: 1.0
ΔE_f (raw), eV/atom: -1.369
Uncorrected energy, eV/atom: -8.04

---

Below is a geometry-optimized CaPr3N structure, with properties calculated at the PBE level.

abc: 5.2464 5.2464 5.2464
angles: 90.00 90.00 90.00
Space group Pm-3m (No. 221)
Unique sites:
1 Ca 0.0000 0.0000 0.0000
2 Pr 0.0000 0.5000 0.5000
3 N 0.5000 0.5000 0.5000

Results
DOS at the Fermi energy, states/eV/f.u.: 7.0
ΔE_f (raw), eV/atom: -0.409
Uncorrected energy, eV/atom: -5.34

---

Below is a geometry-optimized CaPrN structure, with properties calculated at the PBE level.

abc: 3.6861 3.6861 5.1063
angles: 90.00 90.00 90.00
Space group P4/mmm (No. 123)
Unique sites:
1 Ca 0.0000 0.0000 0.0000
2 Pr 0.5000 0.5000 0.5000
3 N 0.0000 0.0000 0.5000

Results
Distance to the lowest polymorph of the same formula, meV/atom: 101
DOS at the Fermi energy, states/eV/f.u.: 1.5
ΔE_f (raw), eV/atom: -0.719
Uncorrected energy, eV/atom: -5.75

---

- Which of these has the highest ΔE_f (raw)?
  CaPr3N

---

What did the fifth record say?
Below is a geometry-optimized CaPmZnN2 structure, with properties calculated at the PBE level.

abc: 5.2263 5.5017 6.6393
angles: 90.00 90.00 90.00
Space group Pccm (No. 49)
Unique sites:
1 Ca 0.0000 0.0000 0.2500
2 Pm 0.5000 0.5000 0.2500
3 Zn 0.5000 0.0000 0.0000
4 N 0.2666 0.2571 0.0000

Results
DOS at the Fermi energy, states/eV/f.u.: 2.6
ΔE_f (raw), eV/atom: -0.549
Uncorrected energy, eV/atom: -5.48